# P2PtSe2

A relaxed P2PtSe2 crystal (PBE, the Alexandria database).

```
P2PtSe2
1.0
7.253 0.000 0.000
0.000 7.253 0.000
0.000 0.000 3.692
P Se Pt
4 4 2
direct
0.791 0.709 0.000
0.709 0.209 0.000
0.291 0.791 0.000
0.209 0.291 0.000
0.149 0.649 0.500
0.351 0.149 0.500
0.649 0.851 0.500
0.851 0.351 0.500
0.500 0.500 0.000
0.000 0.000 0.000
```

## Properties
- magnetic moment (μB/f.u.) = 0.00
- SG = No. 127
- ΔE_f (raw) (eV/atom) = 0.342


# Tb4Pm2Ge3H2

A relaxed Tb4Pm2Ge3H2 crystal (PBE, the Alexandria database).

```
Tb4Pm2Ge3H2
1.0
-1.407 -4.168 -1.293
3.865 -0.561 -2.401
4.023 -2.374 11.407
Ge Pm Tb H
3 2 4 2
direct
0.830 0.830 0.660
0.170 0.170 0.340
0.000 0.000 0.000
0.701 0.701 0.402
0.299 0.299 0.598
0.080 0.580 0.160
0.420 0.920 0.840
0.580 0.080 0.160
0.920 0.420 0.840
0.598 0.598 0.196
0.402 0.402 0.804
```

## Properties
- magnetic moment (μB/f.u.) = 0.00
- calculated total energy (eV/cell) = -55.30
- SG = No. 139


# Zn2OsRu

A relaxed Zn2OsRu crystal (PBE, the Alexandria database).

```
Zn2OsRu
1.0
4.634 0.000 -0.002
3.799 2.654 -0.002
0.646 0.203 4.606
Zn Ru Os
2 1 1
direct
0.247 0.247 0.234
0.003 0.003 0.017
0.755 0.755 0.727
0.496 0.496 0.522
```

## Properties
- magnetic moment (μB/f.u.) = 0.00
- SG = No. 8
- ΔH_f (0 K) (meV per atom) = 141


# Sr2HoThO6

A relaxed Sr2HoThO6 crystal (PBE, the Alexandria database).

```
Sr2HoThO6
1.0
6.063 0.000 -0.002
0.000 6.227 0.000
0.051 0.000 8.685
Sr O Th Ho
4 12 2 2
direct
0.985 0.047 0.750
0.015 0.953 0.250
0.515 0.547 0.750
0.485 0.453 0.250
0.203 0.203 0.059
0.703 0.297 0.559
0.110 0.452 0.748
0.390 0.952 0.752
0.700 0.295 0.940
0.610 0.048 0.248
0.797 0.797 0.941
0.200 0.205 0.440
0.890 0.548 0.252
0.297 0.703 0.441
0.300 0.705 0.060
0.800 0.795 0.560
0.000 0.500 0.000
0.500 0.000 0.500
0.000 0.500 0.500
0.500 0.000 0.000
```

## Properties
- magnetic moment (μB/f.u.) = 1.01
- SG = No. 14
- ΔE_f (raw) (eV/atom) = -3.086